First-principles (PBE) data for an optimized crystal structure of Rb2BiHI6, as listed in Alexandria.

Cell lengths 9.4192, 9.4192, 8.3590 Å; angles 55.71, 55.71, 90.00 degrees
Closest atoms and distances in Å follow each position.
Positions (direct):
I (0.3127, 0.3127, 0.3747)  1 H 1.89
I (0.7704, 0.7704, 0.0000)  1 Bi 3.06
I (0.2296, 0.7704, 0.0000)  1 Bi 3.06
I (0.6873, 0.6873, 0.6253)  1 H 1.89
I (0.7704, 0.2296, 0.0000)  1 Bi 3.06
I (0.2296, 0.2296, 0.0000)  1 Bi 3.06
Bi (0.0000, 0.0000, 0.0000)  6 I 3.06-3.16
Rb (0.2500, 0.7500, 0.5000)  8 I 4.19
Rb (0.7500, 0.2500, 0.5000)  8 I 4.19
H (0.5000, 0.5000, 0.0000)  2 I 1.89

Its calculated volume is 44.812 A^3/atom. Its magnetization is 0.000 μB/atom. The calculated total energy comes out at -2.552 eV/atom.


First-principles (PBE) data for an optimized crystal structure of SiBiH2I, as listed in Alexandria.

Cell lengths 4.0020, 7.8095, 4.0020 Å; angles 90.00, 90.00, 90.00 degrees
Closest atoms and distances in Å follow each position.
Positions (direct):
Bi (0.5000, 0.5000, 0.5000)  4 Si 2.83
Si (0.0000, 0.5000, 0.0000)  4 Bi 2.83
I (0.0000, 0.0000, 0.0000)  4 H 2.00
H (0.0000, 0.0000, 0.5000)  2 I 2.00
H (0.5000, 0.0000, 0.0000)  2 I 2.00

Its calculated volume is 25.016 A^3/atom. Its magnetization is 0.000 μB/atom. The calculated total energy comes out at -2.819 eV/atom.


First-principles (PBE) data for an optimized crystal structure of SnBiH2I, as listed in Alexandria.

Cell lengths 4.4510, 6.7500, 4.4510 Å; angles 90.00, 90.00, 90.00 degrees
Closest atoms and distances in Å follow each position.
Positions (direct):
H (0.5000, 0.0000, 0.0000)  2 Bi 2.23
H (0.0000, 0.0000, 0.5000)  2 Bi 2.23
Bi (0.0000, 0.0000, 0.0000)  4 H 2.23
I (0.0000, 0.5000, 0.0000)  4 Sn 3.15, 2 Bi 3.37
Sn (0.5000, 0.5000, 0.5000)  4 I 3.15

Its calculated volume is 26.745 A^3/atom. Its magnetization is 0.212 μB/atom. The calculated total energy comes out at -2.693 eV/atom.


First-principles (PBE) data for an optimized crystal structure of Ta2BiHI, as listed in Alexandria.

Cell lengths 4.5320, 4.5589, 4.5320 Å; angles 90.00, 90.00, 90.00 degrees
Closest atoms and distances in Å follow each position.
Positions (direct):
Bi (0.5000, 0.5000, 0.5000)  4 I 3.20, 8 Ta 3.21
Ta (0.0000, 0.0000, 0.5000)  2 H 2.27
Ta (0.5000, 0.0000, 0.0000)  2 H 2.27
I (0.0000, 0.5000, 0.0000)  2 H 2.28
H (0.0000, 0.0000, 0.0000)  4 Ta 2.27, 2 I 2.28

Its calculated volume is 18.727 A^3/atom. Its magnetization is 0.000 μB/atom. The calculated total energy comes out at -5.484 eV/atom.


First-principles (PBE) data for an optimized crystal structure of BiTe2HI, as listed in Alexandria.

Cell lengths 4.5934, 4.5934, 6.2346 Å; angles 90.00, 90.00, 90.00 degrees
Closest atoms and distances in Å follow each position.
Positions (direct):
Te (0.0000, 0.5000, 0.0000)  2 H 2.30
Te (0.5000, 0.0000, 0.0000)  2 H 2.30
Bi (0.5000, 0.5000, 0.5000)  4 I 3.25
I (0.0000, 0.0000, 0.5000)  2 H 3.12, 4 Bi 3.25
H (0.0000, 0.0000, 0.0000)  4 Te 2.30

Its calculated volume is 26.310 A^3/atom. Its magnetization is 0.000 μB/atom. For the energy above the most stable polymorph in this dataset, the calculation gives 0 meV/atom.


First-principles (PBE) data for an optimized crystal structure of BiTe2HI, as listed in Alexandria.

Cell lengths 6.0342, 6.0342, 6.2780 Å; angles 90.00, 90.00, 90.00 degrees
Closest atoms and distances in Å follow each position.
Positions (direct):
Bi (0.0000, 0.0000, 0.0000)  4 Te 3.02, 2 I 3.14
Te (0.0000, 0.5000, 0.0000)  2 Bi 3.02
Te (0.5000, 0.0000, 0.0000)  2 Bi 3.02
I (0.0000, 0.0000, 0.5000)  2 Bi 3.14
H (0.5000, 0.5000, 0.5000)  4 I 4.27, 8 Te 4.35

Its calculated volume is 45.718 A^3/atom. Its magnetization is 0.525 μB/atom. For the energy above the most stable polymorph in this dataset, the calculation gives 355 meV/atom.


First-principles (PBE) data for an optimized crystal structure of InBiH3, as listed in Alexandria.

Cell lengths 4.1059, 4.1059, 4.1059 Å; angles 90.00, 90.00, 90.00 degrees
Closest atoms and distances in Å follow each position.
Positions (direct):
H (0.0000, 0.5000, 0.0000)  2 In 2.05
H (0.0000, 0.0000, 0.5000)  2 In 2.05
H (0.5000, 0.0000, 0.0000)  2 In 2.05
In (0.0000, 0.0000, 0.0000)  6 H 2.05
Bi (0.5000, 0.5000, 0.5000)  12 H 2.90

Its calculated volume is 13.843 A^3/atom. Its magnetization is 0.000 μB/atom. For the energy above the most stable polymorph in this dataset, the calculation gives 132 meV/atom.


First-principles (PBE) data for an optimized crystal structure of In3BiH4, as listed in Alexandria.

Cell lengths 5.2145, 5.6782, 6.6057 Å; angles 124.96, 113.25, 90.00 degrees
Closest atoms and distances in Å follow each position.
Positions (direct):
H (0.1537, 0.4494, 0.3074)  2 In 1.93-2.06
H (0.6021, 0.4846, 0.2042)  1 In 1.95
H (0.8463, 0.5506, 0.6926)  2 In 1.93-2.06
H (0.3979, 0.5154, 0.7958)  1 In 1.95
Bi (0.5000, 0.0000, 0.0000)  2 H 2.20
In (0.0000, 0.5000, 0.0000)  2 H 2.06
In (0.8028, 0.8240, 0.6057)  2 H 1.93-1.95
In (0.1972, 0.1760, 0.3943)  2 H 1.93-1.95

Its calculated volume is 17.560 A^3/atom. Its magnetization is 0.000 μB/atom. The calculated total energy comes out at -2.832 eV/atom.


First-principles (PBE) data for an optimized crystal structure of In5Bi3H2, as listed in Alexandria.

Cell lengths 8.8911, 13.1933, 11.7796 Å; angles 154.27, 80.72, 111.22 degrees
Closest atoms and distances in Å follow each position.
Positions (direct):
In (0.4835, 0.6804, 0.9579)  2 H 3.03-3.25, 2 In 3.19-3.24, 2 Bi 3.25-3.27
In (0.1943, 0.4508, 0.5590)  5 In 3.24-3.56, 4 Bi 3.34-3.50, 1 H 3.42
In (0.8941, 0.6402, 0.8149)  4 In 3.33-3.54, 6 Bi 3.35-3.57, 1 H 3.58
In (0.5183, 0.8000, 0.6652)  2 Bi 3.13-3.25, 5 In 3.18-3.50, 1 H 3.32
In (0.1059, 0.3598, 0.1851)  4 In 3.33-3.54, 6 Bi 3.35-3.57, 1 H 3.58
In (0.5165, 0.3196, 0.0421)  2 H 3.03-3.25, 2 In 3.19-3.24, 2 Bi 3.25-3.27
In (0.2008, 0.9309, 0.2966)  2 H 2.11-2.27
In (0.4817, 0.2000, 0.3348)  2 Bi 3.13-3.25, 5 In 3.18-3.50, 1 H 3.32
In (0.7992, 0.0691, 0.7034)  2 H 2.11-2.27
In (0.8057, 0.5492, 0.4410)  5 In 3.24-3.56, 4 Bi 3.34-3.50, 1 H 3.42
H (0.0818, 0.5087, 0.9032)  1 Bi 1.96, 1 In 2.11
H (0.4725, 0.1258, 0.5412)  1 Bi 1.91
H (0.5275, 0.8742, 0.4588)  1 Bi 1.91
H (0.9182, 0.4913, 0.0968)  1 Bi 1.96, 1 In 2.11
Bi (0.2289, 0.9813, 0.9345)  8 In 3.13-3.50
Bi (0.0969, 0.8449, 0.4915)  1 H 1.96
Bi (0.9031, 0.1551, 0.5085)  1 H 1.96
Bi (0.6721, 0.4511, 0.8987)  1 H 1.91
Bi (0.3279, 0.5489, 0.1013)  1 H 1.91
Bi (0.7711, 0.0187, 0.0655)  8 In 3.13-3.50

Its calculated volume is 25.543 A^3/atom. Its magnetization is 0.000 μB/atom. The calculated total energy comes out at -3.033 eV/atom.


First-principles (PBE) data for an optimized crystal structure of InBi2H2, as listed in Alexandria.

Cell lengths 3.8289, 3.8289, 7.2194 Å; angles 74.62, 74.62, 90.00 degrees
Closest atoms and distances in Å follow each position.
Positions (direct):
H (0.2500, 0.7500, 0.5000)  4 Bi 2.40
H (0.7500, 0.2500, 0.5000)  4 Bi 2.40
Bi (0.3585, 0.3585, 0.2831)  4 H 2.40
Bi (0.6415, 0.6415, 0.7169)  4 H 2.40
In (0.0000, 0.0000, 0.0000)  8 Bi 3.30

Its calculated volume is 19.623 A^3/atom. Its magnetization is 0.000 μB/atom. For the energy above the most stable polymorph in this dataset, the calculation gives 205 meV/atom.


First-principles (PBE) data for an optimized crystal structure of InBi3H, as listed in Alexandria.

Cell lengths 5.8407, 5.8407, 5.8407 Å; angles 90.00, 90.00, 90.00 degrees
Closest atoms and distances in Å follow each position.
Positions (direct):
Bi (0.0000, 0.0000, 0.5000)  2 In 2.92
Bi (0.5000, 0.0000, 0.0000)  2 In 2.92
Bi (0.0000, 0.5000, 0.0000)  2 In 2.92
In (0.0000, 0.0000, 0.0000)  6 Bi 2.92
H (0.5000, 0.5000, 0.5000)  12 Bi 4.13

Its calculated volume is 39.850 A^3/atom. Its magnetization is 0.200 μB/atom. For the energy above the most stable polymorph in this dataset, the calculation gives 769 meV/atom.


First-principles (PBE) data for an optimized crystal structure of InBi2H, as listed in Alexandria.

Cell lengths 5.1615, 5.1615, 5.1615 Å; angles 60.00, 60.00, 60.00 degrees
Closest atoms and distances in Å follow each position.
Positions (direct):
H (0.0000, 0.0000, 0.0000)  8 Bi 3.16
Bi (0.2500, 0.2500, 0.2500)  4 In 3.16, 4 H 3.16
Bi (0.7500, 0.7500, 0.7500)  4 In 3.16, 4 H 3.16
In (0.5000, 0.5000, 0.5000)  8 Bi 3.16

Its calculated volume is 24.308 A^3/atom. Its magnetization is 0.000 μB/atom. For the energy above the most stable polymorph in this dataset, the calculation gives 283 meV/atom.